No. 1
# Mg3TaH

Mg3TaH after structural relaxation (PBE, Alexandria).

Cell lengths 4.332, 4.332, 4.332 Å; angles 90.00, 90.00, 90.00 degrees
Atoms (fractional coordinates):
Mg 0.000 0.000 0.500
Mg 0.000 0.500 0.000
Mg 0.500 0.000 0.000
Ta 0.500 0.500 0.500
H 0.000 0.000 0.000

## Properties
Final energy, eV per atom: -3.604
SG: Pm-3m, No. 221
V, A^3/atom: 16.3
ρ, Mg/m³: 5.21

---

No. 2
# MgTaH2

MgTaH2 after structural relaxation (PBE, Alexandria).

Cell lengths 5.038, 5.038, 5.038 Å; angles 122.02, 122.02, 86.54 degrees
Atoms (fractional coordinates):
Mg 0.000 0.000 0.000
Mg 0.750 0.250 0.500
Ta 0.250 0.750 0.500
Ta 0.500 0.500 0.000
H 0.153 0.625 0.028
H 0.375 0.403 0.528
H 0.597 0.125 0.972
H 0.875 0.847 0.472

## Properties
Final energy, eV per atom: -5.022
SG: I-42d, No. 122
V, A^3/atom: 10.9
ρ, Mg/m³: 7.87

---

No. 3
# Mg3Ta5H12

Mg3Ta5H12 after structural relaxation (PBE, Alexandria).

Cell lengths 9.783, 9.783, 9.783 Å; angles 109.47, 109.47, 109.47 degrees
Atoms (fractional coordinates):
Mg 0.125 0.250 0.375
Mg 0.125 0.375 0.750
Mg 0.250 0.375 0.125
Mg 0.250 0.875 0.625
Mg 0.375 0.125 0.250
Mg 0.375 0.750 0.125
Mg 0.625 0.250 0.875
Mg 0.625 0.875 0.750
Mg 0.750 0.125 0.375
Mg 0.750 0.625 0.875
Mg 0.875 0.625 0.250
Mg 0.875 0.750 0.625
Ta 0.000 0.000 0.000
Ta 0.000 0.000 0.500
Ta 0.000 0.500 0.000
Ta 0.000 0.500 0.500
Ta 0.125 0.750 0.875
Ta 0.125 0.875 0.250
Ta 0.250 0.125 0.875
Ta 0.250 0.625 0.375
Ta 0.375 0.250 0.625
Ta 0.375 0.625 0.750
Ta 0.500 0.000 0.000
Ta 0.500 0.000 0.500
Ta 0.500 0.500 0.000
Ta 0.500 0.500 0.500
Ta 0.625 0.375 0.250
Ta 0.625 0.750 0.375
Ta 0.750 0.375 0.625
Ta 0.750 0.875 0.125
Ta 0.875 0.125 0.750
Ta 0.875 0.250 0.125
H 0.061 0.220 0.149
H 0.061 0.341 0.912
H 0.071 0.720 0.659
H 0.071 0.851 0.412
H 0.088 0.649 0.429
H 0.088 0.939 0.659
H 0.149 0.061 0.220
H 0.149 0.588 0.929
H 0.159 0.220 0.571
H 0.159 0.439 0.588
H 0.220 0.149 0.061
H 0.220 0.571 0.159
H 0.280 0.341 0.929
H 0.280 0.439 0.351
H 0.341 0.912 0.061
H 0.341 0.929 0.280
H 0.351 0.280 0.439
H 0.351 0.571 0.912
H 0.412 0.071 0.851
H 0.412 0.841 0.561
H 0.429 0.088 0.649
H 0.429 0.841 0.780
H 0.439 0.351 0.280
H 0.439 0.588 0.159
H 0.561 0.412 0.841
H 0.561 0.649 0.720
H 0.571 0.159 0.220
H 0.571 0.912 0.351
H 0.588 0.159 0.439
H 0.588 0.929 0.149
H 0.649 0.429 0.088
H 0.649 0.720 0.561
H 0.659 0.071 0.720
H 0.659 0.088 0.939
H 0.720 0.561 0.649
H 0.720 0.659 0.071
H 0.780 0.429 0.841
H 0.780 0.851 0.939
H 0.841 0.561 0.412
H 0.841 0.780 0.429
H 0.851 0.412 0.071
H 0.851 0.939 0.780
H 0.912 0.061 0.341
H 0.912 0.351 0.571
H 0.929 0.149 0.588
H 0.929 0.280 0.341
H 0.939 0.659 0.088
H 0.939 0.780 0.851

## Properties
Final energy, eV per atom: -5.274
SG: Ia-3d, No. 230
V, A^3/atom: 9.0
ρ, Mg/m³: 9.12

---

No. 4
# MgTaH3

MgTaH3 after structural relaxation (PBE, Alexandria).

Cell lengths 3.674, 3.674, 3.674 Å; angles 90.00, 90.00, 90.00 degrees
Atoms (fractional coordinates):
Mg 0.000 0.000 0.000
Ta 0.500 0.500 0.500
H 0.000 0.500 0.500
H 0.500 0.000 0.500
H 0.500 0.500 0.000

## Properties
Final energy, eV per atom: -4.600
SG: Pm-3m, No. 221
V, A^3/atom: 9.9
ρ, Mg/m³: 6.97

---

No. 5
# MgTaTi2H

MgTaTi2H after structural relaxation (PBE, Alexandria).

Cell lengths 4.239, 4.239, 4.068 Å; angles 90.00, 90.00, 90.00 degrees
Atoms (fractional coordinates):
Mg 0.000 0.000 0.000
Ta 0.500 0.500 0.000
Ti 0.000 0.500 0.500
Ti 0.500 0.000 0.500
H 0.500 0.500 0.500

## Properties
Final energy, eV per atom: -6.516
SG: P4/mmm, No. 123
V, A^3/atom: 14.6
ρ, Mg/m³: 6.86

---

No. 6
# MgTa2TiH

MgTa2TiH after structural relaxation (PBE, Alexandria).

Cell lengths 4.093, 4.093, 4.457 Å; angles 90.00, 90.00, 90.00 degrees
Atoms (fractional coordinates):
Mg 0.000 0.000 0.000
Ta 0.000 0.500 0.500
Ta 0.500 0.000 0.500
Ti 0.500 0.500 0.000
H 0.500 0.500 0.500

## Properties
Final energy, eV per atom: -7.233
SG: P4/mmm, No. 123
V, A^3/atom: 14.9
ρ, Mg/m³: 9.68

---

No. 7
# MgTaVH2

MgTaVH2 after structural relaxation (PBE, Alexandria).

Cell lengths 3.657, 3.657, 5.401 Å; angles 90.00, 90.00, 90.00 degrees
Atoms (fractional coordinates):
Mg 0.000 0.000 0.000
Ta 0.000 0.000 0.500
V 0.500 0.500 0.000
H 0.000 0.500 0.500
H 0.500 0.000 0.500

## Properties
Final energy, eV per atom: -4.899
SG: P4/mmm, No. 123
V, A^3/atom: 14.5
ρ, Mg/m³: 5.93

---

No. 8
# Y2MgTaH

Y2MgTaH after structural relaxation (PBE, Alexandria).

Cell lengths 5.893, 5.893, 3.276 Å; angles 90.00, 90.00, 90.00 degrees
Atoms (fractional coordinates):
Y 0.000 0.500 0.000
Y 0.500 0.000 0.000
Mg 0.000 0.000 0.000
Ta 0.500 0.500 0.500
H 0.000 0.000 0.500

## Properties
Final energy, eV per atom: -5.066
SG: P4/mmm, No. 123
V, A^3/atom: 22.8
ρ, Mg/m³: 5.61

---

No. 9
# Mg2TaZnH

Mg2TaZnH after structural relaxation (PBE, Alexandria).

Cell lengths 4.095, 4.095, 4.453 Å; angles 90.00, 90.00, 90.00 degrees
Atoms (fractional coordinates):
Mg 0.000 0.500 0.000
Mg 0.500 0.000 0.000
Ta 0.000 0.000 0.500
Zn 0.500 0.500 0.500
H 0.500 0.500 0.000

## Properties
Final energy, eV per atom: -3.568
SG: P4/mmm, No. 123
V, A^3/atom: 14.9
ρ, Mg/m³: 6.58

---

No. 10
# MgZrTa2H

MgZrTa2H after structural relaxation (PBE, Alexandria).

Cell lengths 4.921, 4.921, 5.603 Å; angles 90.00, 90.00, 90.00 degrees
Atoms (fractional coordinates):
Mg 0.000 0.000 0.000
Zr 0.000 0.000 0.500
Ta 0.000 0.500 0.500
Ta 0.500 0.000 0.500
H 0.500 0.500 0.000

## Properties
Final energy, eV per atom: -5.212
SG: P4/mmm, No. 123
V, A^3/atom: 27.1
ρ, Mg/m³: 5.86

---

No. 11
# MgZr2TaH

MgZr2TaH after structural relaxation (PBE, Alexandria).

Cell lengths 4.455, 4.455, 4.273 Å; angles 90.00, 90.00, 90.00 degrees
Atoms (fractional coordinates):
Mg 0.000 0.000 0.000
Zr 0.000 0.500 0.500
Zr 0.500 0.000 0.500
Ta 0.500 0.500 0.000
H 0.000 0.000 0.500

## Properties
Final energy, eV per atom: -6.757
SG: P4/mmm, No. 123
V, A^3/atom: 17.0
ρ, Mg/m³: 7.61

---

No. 12
# MgZr2TaH

MgZr2TaH after structural relaxation (PBE, Alexandria).

Cell lengths 4.540, 4.540, 4.154 Å; angles 90.00, 90.00, 90.00 degrees
Atoms (fractional coordinates):
Mg 0.000 0.000 0.000
Zr 0.000 0.500 0.500
Zr 0.500 0.000 0.500
Ta 0.500 0.500 0.000
H 0.500 0.500 0.500

## Properties
Final energy, eV per atom: -6.803
SG: P4/mmm, No. 123
V, A^3/atom: 17.1
ρ, Mg/m³: 7.54